(1)
TaSbRu2 | PBE | relaxed

abc: 8.469 8.469 8.469
angles: 21.23 21.23 21.23
Element x y z (fractional)
Ta 0.000 0.000 0.000
Sb 0.500 0.500 0.500
Ru 0.254 0.254 0.254
Ru 0.746 0.746 0.746

* energy relative to the elements, uncorrected: 3 kJ/mol of atoms


(2)
TcNiCl2 | PBE | relaxed

abc: 3.073 3.073 9.238
angles: 90.00 90.00 121.05
Element x y z (fractional)
Tc 0.000 0.000 0.000
Ni 0.500 0.500 0.782
Cl 0.000 0.000 0.602
Cl 0.500 0.500 0.202

* ΔE to the lowest computed polymorph: 6.70 kcal/mol of atoms
* energy relative to the elements, uncorrected: 23 kJ/mol of atoms


(3)
Cr2C | PBE | relaxed

abc: 5.074 5.074 4.310
angles: 90.00 90.00 148.05
Element x y z (fractional)
Cr 0.054 0.946 0.750
Cr 0.226 0.774 0.250
Cr 0.774 0.226 0.750
Cr 0.946 0.054 0.250
C 0.411 0.589 0.750
C 0.589 0.411 0.250

* E_form: 35 kJ/mol of atoms


(4)
TlPtCl | PBE | relaxed

abc: 4.399 4.399 4.062
angles: 90.00 90.00 120.00
Element x y z (fractional)
Tl 0.000 0.000 0.000
Pt 0.333 0.667 0.500
Cl 0.667 0.333 0.500

* ΔE to the lowest computed polymorph: 1.20 kcal/mol of atoms
* energy relative to the elements, uncorrected: 4 kJ/mol of atoms


(5)
Tc3MoI | PBE | relaxed

abc: 4.753 4.753 4.753
angles: 90.00 90.00 90.00
Element x y z (fractional)
Tc 0.000 0.000 0.500
Tc 0.000 0.500 0.000
Tc 0.500 0.000 0.000
Mo 0.500 0.500 0.500
I 0.000 0.000 0.000

* ΔE to the lowest computed polymorph: 10.91 kcal/mol of atoms
* energy relative to the elements, uncorrected: 224 kJ/mol of atoms


(6)
HgAsSe2Br | PBE | relaxed

abc: 5.131 5.131 5.247
angles: 90.00 90.00 90.00
Element x y z (fractional)
Hg 0.000 0.000 0.000
As 0.500 0.500 0.500
Se 0.000 0.500 0.500
Se 0.500 0.000 0.500
Br 0.500 0.500 0.000

* ΔE to the lowest computed polymorph: 0.00 kcal/mol of atoms
* energy relative to the elements, uncorrected: 25 kJ/mol of atoms


(7)
AlRu2Pb | PBE | relaxed

abc: 4.574 4.574 4.574
angles: 60.00 60.00 60.00
Element x y z (fractional)
Al 0.000 0.000 0.000
Ru 0.250 0.250 0.250
Ru 0.500 0.500 0.500
Pb 0.750 0.750 0.750

* ΔE to the lowest computed polymorph: 11.05 kcal/mol of atoms
* E_form: 46 kJ/mol of atoms


Total DFT energy (no corrections) values, unit eV for the cell shown, following the record order: -34.40 -18.89 -54.79 -10.13 -31.85 -12.27 -24.08.
Calculated volume values, unit Å³/atom, following the record order: 17.4 18.7 9.8 22.7 21.5 27.6 16.9.